1.
YFeBPt (GGA-PBE, optimized geometry); E_tot = -104.016 eV for the cell shown; V = 242.70 Å³ per cell
1.0
6.238 0.000 0.000
0.000 6.238 0.000
0.000 0.000 6.238
Y Fe B Pt
4 4 4 4
Direct
0.000 0.000 0.000
0.000 0.500 0.500
0.500 0.000 0.500
0.500 0.500 0.000
0.250 0.250 0.750
0.250 0.750 0.250
0.750 0.250 0.250
0.750 0.750 0.750
0.000 0.000 0.500
0.000 0.500 0.000
0.500 0.000 0.000
0.500 0.500 0.500
0.250 0.250 0.250
0.250 0.750 0.750
0.750 0.250 0.750
0.750 0.750 0.250

2.
RbFeB (GGA-PBE, optimized geometry); E_tot = -38.837 eV for the cell shown; V = 250.31 Å³ per cell
1.0
6.302 0.000 0.000
0.000 6.302 0.000
0.000 0.000 6.302
Rb Fe B
4 4 4
Direct
0.000 0.000 0.000
0.000 0.500 0.500
0.500 0.000 0.500
0.500 0.500 0.000
0.250 0.250 0.750
0.250 0.750 0.250
0.750 0.250 0.250
0.750 0.750 0.750
0.000 0.000 0.500
0.000 0.500 0.000
0.500 0.000 0.000
0.500 0.500 0.500

3.
RbFeB (GGA-PBE, optimized geometry); E_tot = -39.895 eV for the cell shown; V = 281.12 Å³ per cell
1.0
6.551 0.000 0.000
0.000 6.551 0.000
0.000 0.000 6.551
Rb Fe B
4 4 4
Direct
0.000 0.000 0.000
0.000 0.500 0.500
0.500 0.000 0.500
0.500 0.500 0.000
0.000 0.000 0.500
0.000 0.500 0.000
0.500 0.000 0.000
0.500 0.500 0.500
0.250 0.250 0.750
0.250 0.750 0.250
0.750 0.250 0.250
0.750 0.750 0.750

4.
RbFeB4 (GGA-PBE, optimized geometry); E_tot = -34.691 eV for the cell shown; V = 65.80 Å³ per cell
1.0
3.038 0.000 0.000
-1.519 2.631 0.000
0.000 0.000 8.230
Rb Fe B
1 1 4
Direct
0.000 0.000 0.000
0.000 0.000 0.500
0.333 0.667 0.322
0.333 0.667 0.678
0.667 0.333 0.322
0.667 0.333 0.678

5.
RbFeB4 (GGA-PBE, optimized geometry); E_tot = -62.088 eV for the cell shown; V = 139.38 Å³ per cell
1.0
2.639 0.000 0.000
0.000 5.802 0.000
0.000 0.000 9.103
Rb Fe B
2 2 8
Direct
0.000 0.000 0.000
0.500 0.500 0.500
0.000 0.000 0.500
0.500 0.500 0.000
0.000 0.354 0.229
0.000 0.354 0.771
0.000 0.646 0.229
0.000 0.646 0.771
0.500 0.146 0.271
0.500 0.146 0.729
0.500 0.854 0.271
0.500 0.854 0.729

6.
FeReB4 (GGA-PBE, optimized geometry); E_tot = -94.256 eV for the cell shown; V = 99.91 Å³ per cell
1.0
2.961 0.000 0.000
0.000 5.255 0.000
0.000 0.000 6.420
Fe Re B
2 2 8
Direct
0.000 0.000 0.000
0.500 0.500 0.500
0.000 0.000 0.500
0.500 0.500 0.000
0.000 0.337 0.258
0.000 0.337 0.742
0.000 0.663 0.258
0.000 0.663 0.742
0.500 0.163 0.242
0.500 0.163 0.758
0.500 0.837 0.242
0.500 0.837 0.758

7.
FeRe2B (GGA-PBE, optimized geometry); E_tot = -150.306 eV for the cell shown; V = 193.97 Å³ per cell
1.0
5.789 0.000 0.000
0.000 5.789 0.000
0.000 0.000 5.789
Fe Re B
4 8 4
Direct
0.000 0.000 0.000
0.000 0.500 0.500
0.500 0.000 0.500
0.500 0.500 0.000
0.000 0.000 0.500
0.000 0.500 0.000
0.250 0.250 0.250
0.250 0.750 0.750
0.500 0.000 0.000
0.500 0.500 0.500
0.750 0.250 0.750
0.750 0.750 0.250
0.250 0.250 0.750
0.250 0.750 0.250
0.750 0.250 0.250
0.750 0.750 0.750

8.
FeReB4 (GGA-PBE, optimized geometry); E_tot = -46.990 eV for the cell shown; V = 48.10 Å³ per cell
1.0
2.963 0.000 0.000
-1.481 2.566 0.000
0.000 0.000 6.327
Fe Re B
1 1 4
Direct
0.000 0.000 0.000
0.000 0.000 0.500
0.333 0.667 0.230
0.333 0.667 0.770
0.667 0.333 0.230
0.667 0.333 0.770

9.
ScFeReB (GGA-PBE, optimized geometry); E_tot = -125.517 eV for the cell shown; V = 208.56 Å³ per cell
1.0
5.930 0.000 0.000
0.000 5.930 0.000
0.000 0.000 5.930
Sc Fe Re B
4 4 4 4
Direct
0.000 0.000 0.000
0.000 0.500 0.500
0.500 0.000 0.500
0.500 0.500 0.000
0.000 0.000 0.500
0.000 0.500 0.000
0.500 0.000 0.000
0.500 0.500 0.500
0.250 0.250 0.750
0.250 0.750 0.250
0.750 0.250 0.250
0.750 0.750 0.750
0.250 0.250 0.250
0.250 0.750 0.750
0.750 0.250 0.750
0.750 0.750 0.250

10.
ScFeReB (GGA-PBE, optimized geometry); E_tot = -125.454 eV for the cell shown; V = 200.55 Å³ per cell
1.0
5.853 0.000 0.000
0.000 5.853 0.000
0.000 0.000 5.853
Sc Fe Re B
4 4 4 4
Direct
0.000 0.000 0.000
0.000 0.500 0.500
0.500 0.000 0.500
0.500 0.500 0.000
0.250 0.250 0.750
0.250 0.750 0.250
0.750 0.250 0.250
0.750 0.750 0.750
0.250 0.250 0.250
0.250 0.750 0.750
0.750 0.250 0.750
0.750 0.750 0.250
0.000 0.000 0.500
0.000 0.500 0.000
0.500 0.000 0.000
0.500 0.500 0.500

11.
FeReTcB (GGA-PBE, optimized geometry); E_tot = -143.627 eV for the cell shown; V = 190.88 Å³ per cell
1.0
5.758 0.000 0.000
0.000 5.758 0.000
0.000 0.000 5.758
Fe Re Tc B
4 4 4 4
Direct
0.000 0.000 0.000
0.000 0.500 0.500
0.500 0.000 0.500
0.500 0.500 0.000
0.250 0.250 0.250
0.250 0.750 0.750
0.750 0.250 0.750
0.750 0.750 0.250
0.000 0.000 0.500
0.000 0.500 0.000
0.500 0.000 0.000
0.500 0.500 0.500
0.250 0.250 0.750
0.250 0.750 0.250
0.750 0.250 0.250
0.750 0.750 0.750

12.
YFeReB (GGA-PBE, optimized geometry); E_tot = -120.324 eV for the cell shown; V = 241.72 Å³ per cell
1.0
6.229 0.000 0.000
0.000 6.229 0.000
0.000 0.000 6.229
Y Fe Re B
4 4 4 4
Direct
0.000 0.000 0.000
0.000 0.500 0.500
0.500 0.000 0.500
0.500 0.500 0.000
0.000 0.000 0.500
0.000 0.500 0.000
0.500 0.000 0.000
0.500 0.500 0.500
0.250 0.250 0.750
0.250 0.750 0.250
0.750 0.250 0.250
0.750 0.750 0.750
0.250 0.250 0.250
0.250 0.750 0.750
0.750 0.250 0.750
0.750 0.750 0.250

13.
YFeReB (GGA-PBE, optimized geometry); E_tot = -119.649 eV for the cell shown; V = 227.43 Å³ per cell
1.0
6.104 0.000 0.000
0.000 6.104 0.000
0.000 0.000 6.104
Y Fe Re B
4 4 4 4
Direct
0.000 0.000 0.000
0.000 0.500 0.500
0.500 0.000 0.500
0.500 0.500 0.000
0.250 0.250 0.750
0.250 0.750 0.250
0.750 0.250 0.250
0.750 0.750 0.750
0.250 0.250 0.250
0.250 0.750 0.750
0.750 0.250 0.750
0.750 0.750 0.250
0.000 0.000 0.500
0.000 0.500 0.000
0.500 0.000 0.000
0.500 0.500 0.500

14.
ZnFeReB (GGA-PBE, optimized geometry); E_tot = -101.388 eV for the cell shown; V = 186.10 Å³ per cell
1.0
5.709 0.000 0.000
0.000 5.709 0.000
0.000 0.000 5.709
Zn Fe Re B
4 4 4 4
Direct
0.000 0.000 0.000
0.000 0.500 0.500
0.500 0.000 0.500
0.500 0.500 0.000
0.000 0.000 0.500
0.000 0.500 0.000
0.500 0.000 0.000
0.500 0.500 0.500
0.250 0.250 0.750
0.250 0.750 0.250
0.750 0.250 0.250
0.750 0.750 0.750
0.250 0.250 0.250
0.250 0.750 0.750
0.750 0.250 0.750
0.750 0.750 0.250

15.
ZnFeReB (GGA-PBE, optimized geometry); E_tot = -105.857 eV for the cell shown; V = 182.61 Å³ per cell
1.0
5.673 0.000 0.000
0.000 5.673 0.000
0.000 0.000 5.673
Zn Fe Re B
4 4 4 4
Direct
0.000 0.000 0.000
0.000 0.500 0.500
0.500 0.000 0.500
0.500 0.500 0.000
0.250 0.250 0.750
0.250 0.750 0.250
0.750 0.250 0.250
0.750 0.750 0.750
0.250 0.250 0.250
0.250 0.750 0.750
0.750 0.250 0.750
0.750 0.750 0.250
0.000 0.000 0.500
0.000 0.500 0.000
0.500 0.000 0.000
0.500 0.500 0.500

16.
FeB4Sb (GGA-PBE, optimized geometry); E_tot = -37.009 eV for the cell shown; V = 64.22 Å³ per cell
1.0
3.000 0.000 0.000
-1.500 2.598 0.000
0.000 0.000 8.239
Fe B Sb
1 4 1
Direct
0.000 0.000 0.000
0.333 0.667 0.181
0.333 0.667 0.819
0.667 0.333 0.181
0.667 0.333 0.819
0.000 0.000 0.500

17.
FeB4Sb (GGA-PBE, optimized geometry); E_tot = -71.413 eV for the cell shown; V = 117.91 Å³ per cell
1.0
3.040 0.000 0.000
0.000 5.382 0.000
0.000 0.000 7.207
Fe B Sb
2 8 2
Direct
0.000 0.000 0.000
0.500 0.500 0.500
0.000 0.337 0.262
0.000 0.337 0.738
0.000 0.663 0.262
0.000 0.663 0.738
0.500 0.163 0.238
0.500 0.163 0.762
0.500 0.837 0.238
0.500 0.837 0.762
0.000 0.000 0.500
0.500 0.500 0.000

18.
FeBSb2 (GGA-PBE, optimized geometry); E_tot = -71.623 eV for the cell shown; V = 279.93 Å³ per cell
1.0
6.542 0.000 0.000
0.000 6.542 0.000
0.000 0.000 6.542
Fe B Sb
4 4 8
Direct
0.000 0.000 0.000
0.000 0.500 0.500
0.500 0.000 0.500
0.500 0.500 0.000
0.250 0.250 0.750
0.250 0.750 0.250
0.750 0.250 0.250
0.750 0.750 0.750
0.000 0.000 0.500
0.000 0.500 0.000
0.250 0.250 0.250
0.250 0.750 0.750
0.500 0.000 0.000
0.500 0.500 0.500
0.750 0.250 0.750
0.750 0.750 0.250

19.
ScFeB2 (GGA-PBE, optimized geometry); E_tot = -100.980 eV for the cell shown; V = 161.13 Å³ per cell
1.0
5.442 0.000 0.000
0.000 5.442 0.000
0.000 0.000 5.442
Sc Fe B
4 4 8
Direct
0.000 0.000 0.000
0.000 0.500 0.500
0.500 0.000 0.500
0.500 0.500 0.000
0.250 0.250 0.250
0.250 0.750 0.750
0.750 0.250 0.750
0.750 0.750 0.250
0.000 0.000 0.500
0.000 0.500 0.000
0.250 0.250 0.750
0.250 0.750 0.250
0.500 0.000 0.000
0.500 0.500 0.500
0.750 0.250 0.250
0.750 0.750 0.750

20.
Sc2FeB (GGA-PBE, optimized geometry); E_tot = -106.533 eV for the cell shown; V = 213.40 Å³ per cell
1.0
5.976 0.000 0.000
0.000 5.976 0.000
0.000 0.000 5.976
Sc Fe B
8 4 4
Direct
0.000 0.000 0.000
0.000 0.500 0.500
0.250 0.250 0.250
0.250 0.750 0.750
0.500 0.000 0.500
0.500 0.500 0.000
0.750 0.250 0.750
0.750 0.750 0.250
0.250 0.250 0.750
0.250 0.750 0.250
0.750 0.250 0.250
0.750 0.750 0.750
0.000 0.000 0.500
0.000 0.500 0.000
0.500 0.000 0.000
0.500 0.500 0.500

21.
Sc4FeB3 (GGA-PBE, optimized geometry); E_tot = -104.292 eV for the cell shown; V = 246.52 Å³ per cell
1.0
3.216 0.000 0.000
-1.608 2.785 0.000
0.000 0.000 27.528
Sc Fe B
8 2 6
Direct
0.000 0.000 0.175
0.000 0.000 0.325
0.000 0.000 0.675
0.000 0.000 0.825
0.333 0.667 0.059
0.333 0.667 0.441
0.667 0.333 0.559
0.667 0.333 0.941
0.333 0.667 0.250
0.667 0.333 0.750
0.000 0.000 0.000
0.000 0.000 0.500
0.333 0.667 0.619
0.333 0.667 0.881
0.667 0.333 0.119
0.667 0.333 0.381

22.
Sc2FeB (GGA-PBE, optimized geometry); E_tot = -53.538 eV for the cell shown; V = 125.99 Å³ per cell
1.0
3.189 0.000 0.000
-1.595 2.762 0.000
0.000 0.000 14.304
Sc Fe B
4 2 2
Direct
0.333 0.667 0.110
0.333 0.667 0.390
0.667 0.333 0.610
0.667 0.333 0.890
0.333 0.667 0.750
0.667 0.333 0.250
0.000 0.000 0.000
0.000 0.000 0.500

23.
Sc2FeB6 (GGA-PBE, optimized geometry); E_tot = -271.531 eV for the cell shown; V = 324.66 Å³ per cell
1.0
8.783 0.000 0.000
0.000 11.084 0.000
0.000 0.000 3.335
Sc Fe B
8 4 24
Direct
0.057 0.129 0.000
0.179 0.415 0.000
0.321 0.915 0.000
0.443 0.629 0.000
0.557 0.371 0.000
0.679 0.085 0.000
0.821 0.585 0.000
0.943 0.871 0.000
0.139 0.680 0.000
0.361 0.180 0.000
0.639 0.820 0.000
0.861 0.320 0.000
0.018 0.288 0.500
0.054 0.566 0.500
0.103 0.972 0.500
0.131 0.816 0.500
0.208 0.236 0.500
0.250 0.080 0.500
0.250 0.580 0.500
0.292 0.736 0.500
0.369 0.316 0.500
0.397 0.472 0.500
0.446 0.066 0.500
0.482 0.788 0.500
0.518 0.212 0.500
0.554 0.934 0.500
0.603 0.528 0.500
0.631 0.684 0.500
0.708 0.264 0.500
0.750 0.420 0.500
0.750 0.920 0.500
0.792 0.764 0.500
0.869 0.184 0.500
0.897 0.028 0.500
0.946 0.434 0.500
0.982 0.712 0.500

24.
ScTaFeB (GGA-PBE, optimized geometry); E_tot = -126.033 eV for the cell shown; V = 209.58 Å³ per cell
1.0
5.940 0.000 0.000
0.000 5.940 0.000
0.000 0.000 5.940
Sc Ta Fe B
4 4 4 4
Direct
0.000 0.000 0.000
0.000 0.500 0.500
0.500 0.000 0.500
0.500 0.500 0.000
0.250 0.250 0.750
0.250 0.750 0.250
0.750 0.250 0.250
0.750 0.750 0.750
0.000 0.000 0.500
0.000 0.500 0.000
0.500 0.000 0.000
0.500 0.500 0.500
0.250 0.250 0.250
0.250 0.750 0.750
0.750 0.250 0.750
0.750 0.750 0.250

25.
YScFeB (GGA-PBE, optimized geometry); E_tot = -103.299 eV for the cell shown; V = 239.03 Å³ per cell
1.0
6.206 0.000 0.000
0.000 6.206 0.000
0.000 0.000 6.206
Y Sc Fe B
4 4 4 4
Direct
0.000 0.000 0.000
0.000 0.500 0.500
0.500 0.000 0.500
0.500 0.500 0.000
0.250 0.250 0.250
0.250 0.750 0.750
0.750 0.250 0.750
0.750 0.750 0.250
0.250 0.250 0.750
0.250 0.750 0.250
0.750 0.250 0.250
0.750 0.750 0.750
0.000 0.000 0.500
0.000 0.500 0.000
0.500 0.000 0.000
0.500 0.500 0.500

26.
YScFeB (GGA-PBE, optimized geometry); E_tot = -103.760 eV for the cell shown; V = 240.31 Å³ per cell
1.0
6.217 0.000 0.000
0.000 6.217 0.000
0.000 0.000 6.217
Y Sc Fe B
4 4 4 4
Direct
0.000 0.000 0.000
0.000 0.500 0.500
0.500 0.000 0.500
0.500 0.500 0.000
0.250 0.250 0.750
0.250 0.750 0.250
0.750 0.250 0.250
0.750 0.750 0.750
0.000 0.000 0.500
0.000 0.500 0.000
0.500 0.000 0.000
0.500 0.500 0.500
0.250 0.250 0.250
0.250 0.750 0.750
0.750 0.250 0.750
0.750 0.750 0.250

27.
Fe2SiB2 (GGA-PBE, optimized geometry); E_tot = -70.129 eV for the cell shown; V = 92.66 Å³ per cell
1.0
3.506 0.000 0.000
0.000 3.506 0.000
0.000 0.000 7.537
Fe Si B
4 2 4
Direct
0.000 0.500 0.250
0.000 0.500 0.750
0.500 0.000 0.250
0.500 0.000 0.750
0.000 0.000 0.000
0.500 0.500 0.500
0.000 0.000 0.387
0.000 0.000 0.613
0.500 0.500 0.113
0.500 0.500 0.887